A plane-wave DFT calculation with SCAN was carried out for a PBEsol-optimized structure of TeRuIN2.

Structure (POSCAR):
```
TeRuIN2
1.0
3.913 0.000 0.000
0.000 3.913 0.000
0.000 0.000 6.729
Te Ru I N
1 1 1 2
Cartesian
0.000 0.000 0.000
1.956 1.956 3.364
0.000 0.000 3.364
0.000 1.956 0.000
1.956 0.000 0.000
```

Output
Electronic total energy, hartree per atom: -0.8685
Space-group type: P4/mmm (123)
Fermi-level density of states, states/eV/f.u.: 4.10